Record 1
# Na2BeH4 (PBE-GGA, relaxed)
# E = -42.8 eV for the cell shown
data_Na2BeH4
_cell_length_a 5.117
_cell_length_b 5.117
_cell_length_c 7.224
_cell_angle_alpha 90.00
_cell_angle_beta 90.00
_cell_angle_gamma 90.00
_symmetry_space_group_name_H-M 'I -4 2 m'
_symmetry_Int_Tables_number 121
_symmetry_space_group_name_Hall 'I -4 2'
loop_
_atom_site_label
_atom_site_type_symbol
_atom_site_fract_x
_atom_site_fract_y
_atom_site_fract_z
Na1 Na 0.000 0.500 0.250
Be1 Be 0.000 0.000 0.000
H1 H 0.167 0.167 0.891

***

Record 2
# NaBeH3 (PBE-GGA, relaxed)
# E = -15.5 eV for the cell shown
data_NaBeH3
_cell_length_a 3.331
_cell_length_b 3.331
_cell_length_c 3.331
_cell_angle_alpha 90.00
_cell_angle_beta 90.00
_cell_angle_gamma 90.00
_symmetry_space_group_name_H-M 'P m -3 m'
_symmetry_Int_Tables_number 221
_symmetry_space_group_name_Hall '-P 4 2 3'
loop_
_atom_site_label
_atom_site_type_symbol
_atom_site_fract_x
_atom_site_fract_y
_atom_site_fract_z
Na1 Na 0.000 0.000 0.000
Be1 Be 0.500 0.500 0.500
H1 H 0.000 0.500 0.500

***

Record 3
# Na2BeH6 (PBE-GGA, relaxed)
# E = -51.9 eV for the cell shown
data_Na2BeH6
_cell_length_a 9.975
_cell_length_b 5.215
_cell_length_c 3.497
_cell_angle_alpha 90.00
_cell_angle_beta 105.85
_cell_angle_gamma 90.00
_symmetry_space_group_name_H-M 'C 1 2/m 1'
_symmetry_Int_Tables_number 12
loop_
_symmetry_equiv_pos_as_xyz
'x,y,z'
'-x,-y,-z'
'-x,y,-z'
'x,-y,z'
'x+1/2,y+1/2,z'
'-x+1/2,-y+1/2,-z'
'-x+1/2,y+1/2,-z'
'x+1/2,-y+1/2,z'
loop_
_atom_site_label
_atom_site_type_symbol
_atom_site_fract_x
_atom_site_fract_y
_atom_site_fract_z
Na1 Na 0.180 0.000 0.203
Be1 Be 0.000 0.500 0.500
H1 H 0.000 0.424 0.000
H2 H 0.116 0.283 0.640